[1]
Density functional theory data (PBE) for a relaxed structure of PrHo2Tl3Te6.

Properties
The calculated total energy comes out at -52.54 eV/cell. The uncorrected formation energy comes out at -1.05 eV/atom. As for the space-group type: C2/m.

abc: 7.7804 7.7804 8.5858
angles: 98.69 98.69 119.98
With the nearest neighbours (Å) after each atom.
Atoms (fractional coordinates):
Te 0.7273 0.7273 0.2135  2 Ho 3.10, 1 Pr 3.20, 1 Tl 3.44
Te 0.9277 0.5841 0.7838  2 Ho 3.10-3.11, 1 Pr 3.21, 1 Tl 3.45
Te 0.4159 0.0723 0.2162  2 Ho 3.10-3.11, 1 Pr 3.21, 1 Tl 3.45
Te 0.2727 0.2727 0.7865  2 Ho 3.10, 1 Pr 3.20, 1 Tl 3.44
Te 0.5841 0.9277 0.7838  2 Ho 3.10-3.11, 1 Pr 3.21, 1 Tl 3.45
Te 0.0723 0.4159 0.2162  2 Ho 3.10-3.11, 1 Pr 3.21, 1 Tl 3.45
Ho 0.6671 0.3329 0.0000  6 Te 3.10-3.11
Ho 0.3329 0.6671 0.0000  6 Te 3.10-3.11
Tl 0.8366 0.1634 0.5000  6 Te 3.45-3.51
Tl 0.1634 0.8366 0.5000  6 Te 3.45-3.51
Tl 0.5000 0.5000 0.5000  6 Te 3.44-3.51
Pr 0.0000 0.0000 0.0000  6 Te 3.20-3.21

[2]
Density functional theory data (PBE) for a relaxed structure of Al2Cu3Ni3.

Properties
The calculated total energy comes out at -75.65 eV/cell. As for the space-group type: P6_3/mcm. The formation enthalpy at 0 K comes out at -88.7 meV per atom.

abc: 6.8802 6.8802 4.9100
angles: 90.00 90.00 120.00
With the nearest neighbours (Å) after each atom.
Atoms (fractional coordinates):
Cu 0.7764 0.7764 0.2500  3 Ni 2.46-2.50, 2 Cu 2.66
Cu 0.2236 0.2236 0.7500  3 Ni 2.46-2.50, 2 Cu 2.66
Cu 0.0000 0.7764 0.7500  3 Ni 2.46-2.50, 2 Cu 2.66
Cu 0.7764 0.0000 0.7500  3 Ni 2.46-2.50, 2 Cu 2.66
Cu 0.2236 0.0000 0.2500  3 Ni 2.46-2.50, 2 Cu 2.66
Cu 0.0000 0.2236 0.2500  3 Ni 2.46-2.50, 2 Cu 2.66
Ni 0.5875 0.5875 0.7500  4 Al 2.41, 3 Cu 2.46-2.50
Ni 0.4125 0.0000 0.7500  4 Al 2.41, 3 Cu 2.46-2.50
Ni 0.4125 0.4125 0.2500  4 Al 2.41, 3 Cu 2.46-2.50
Ni 0.5875 0.0000 0.2500  4 Al 2.41, 3 Cu 2.46-2.50
Ni 0.0000 0.4125 0.7500  4 Al 2.41, 3 Cu 2.46-2.50
Ni 0.0000 0.5875 0.2500  4 Al 2.41, 3 Cu 2.46-2.50
Al 0.3333 0.6667 0.0000  6 Ni 2.41, 2 Al 2.45
Al 0.6667 0.3333 0.5000  6 Ni 2.41, 2 Al 2.45
Al 0.6667 0.3333 0.0000  6 Ni 2.41, 2 Al 2.45
Al 0.3333 0.6667 0.5000  6 Ni 2.41, 2 Al 2.45

[3]
Density functional theory data (PBE) for a relaxed structure of Hg5Cl4.

Properties
The calculated total energy comes out at -11.39 eV/cell. The uncorrected formation energy comes out at -0.28 eV/atom. As for the space-group type: I4/mmm.

abc: 9.3851 9.3851 9.3851
angles: 92.80 92.80 154.46
With the nearest neighbours (Å) after each atom.
Atoms (fractional coordinates):
Cl 0.0000 0.1989 0.1989  1 Hg 2.57
Cl 0.1989 0.0000 0.1989  1 Hg 2.57
Cl 0.8011 0.0000 0.8011  1 Hg 2.57
Cl 0.0000 0.8011 0.8011  1 Hg 2.57
Hg 0.0000 0.0000 0.0000  4 Cl 2.57
Hg 0.6957 0.6957 0.3914  2 Hg 2.87
Hg 0.3043 0.3043 0.6086  2 Hg 2.87
Hg 0.6957 0.3043 0.0000  2 Hg 2.87
Hg 0.3043 0.6957 0.0000  2 Hg 2.87

> Which value of calculated total energy does entry 2 give?

-75.65 eV/cell